[1]
Pm2CoCuC | Alexandria | PBE-GGA | optimized geometry; electronic total energy = -6.2106 eV per atom; formation energy = -0.2251 eV per atom; volume = 19.06 Å³/atom; crystal system = tetragonal
1.0
-3.118 -1.202 -1.381
0.134 -4.015 3.195
-2.595 2.704 3.507
Cu Co C Pm
1 1 1 2
direct
0.500 0.500 0.500 Cu
0.500 0.000 0.000 Co
0.000 0.000 0.000 C
0.000 0.000 0.500 Pm
0.000 0.500 0.000 Pm

[2]
CoCuPt2C | Alexandria | PBE-GGA | optimized geometry; electronic total energy = -5.9957 eV per atom; formation energy = 0.5058 eV per atom; volume = 13.27 Å³/atom; crystal system = tetragonal
1.0
-2.601 2.236 2.272
1.195 -1.884 3.222
2.931 2.832 0.569
Pt Cu Co C
2 1 1 1
direct
0.000 0.000 0.500 Pt
0.500 0.000 0.000 Pt
0.000 0.500 0.000 Cu
0.500 0.500 0.500 Co
0.000 0.000 0.000 C

[3]
RbCoCuC2 | Alexandria | PBE-GGA | optimized geometry; electronic total energy = -3.8881 eV per atom; formation energy = 2.2354 eV per atom; volume = 15.15 Å³/atom; crystal system = tetragonal
1.0
3.970 0.000 0.000
0.000 4.808 0.000
0.000 0.000 3.970
C Co Cu Rb
2 1 1 1
direct
0.500 0.000 0.000 C
0.000 0.000 0.500 C
0.000 0.500 0.000 Co
0.000 0.000 0.000 Cu
0.500 0.500 0.500 Rb

[4]
CoCuRh2C | Alexandria | PBE-GGA | optimized geometry; electronic total energy = -6.8389 eV per atom; formation energy = 0.1869 eV per atom; volume = 12.21 Å³/atom; crystal system = tetragonal
1.0
-1.027 -2.790 2.715
3.852 -1.134 0.292
0.526 2.500 2.767
C Rh Cu Co
1 2 1 1
direct
0.000 0.000 0.000 C
0.500 0.000 0.000 Rh
0.000 0.500 0.000 Rh
0.500 0.500 0.500 Cu
0.000 0.000 0.500 Co

[5]
ScCoCuC2 | Alexandria | PBE-GGA | optimized geometry; electronic total energy = -5.3471 eV per atom; formation energy = 1.8491 eV per atom; volume = 13.54 Å³/atom; crystal system = tetragonal
1.0
3.725 0.000 0.000
0.000 4.877 0.000
0.000 0.000 3.725
C Co Cu Sc
2 1 1 1
direct
0.000 0.000 0.500 C
0.500 0.000 0.000 C
0.500 0.500 0.500 Co
0.000 0.000 0.000 Cu
0.000 0.500 0.000 Sc

[6]
Co2CuCSe | Alexandria | PBE-GGA | optimized geometry; raw formation energy = 356 meV per atom; electronic total energy = -5.8473 eV per atom; volume = 11.67 Å³/atom; crystal system = tetragonal
1.0
-0.409 0.445 3.769
-1.915 -3.512 0.206
3.328 -1.781 0.571
Se Co C Cu
1 2 1 1
direct
0.500 0.500 0.500 Se
0.000 0.000 0.500 Co
0.500 0.000 0.000 Co
0.000 0.000 0.000 C
0.000 0.500 0.000 Cu

[7]
Tb2CoCuC | Alexandria | PBE-GGA | optimized geometry; electronic total energy = -6.2474 eV per atom; formation energy = -0.3101 eV per atom; volume = 17.83 Å³/atom; crystal system = tetragonal
1.0
3.603 0.000 0.000
0.000 4.974 0.000
0.000 0.000 4.974
Cu Tb Co C
1 2 1 1
direct
0.500 0.500 0.500 Cu
0.000 0.000 0.500 Tb
0.000 0.500 0.000 Tb
0.500 0.000 0.000 Co
0.000 0.000 0.000 C

[8]
Th2CoCuC | Alexandria | PBE-GGA | optimized geometry; electronic total energy = -7.2519 eV per atom; formation energy = -0.1987 eV per atom; volume = 19.42 Å³/atom; crystal system = monoclinic
1.0
3.934 0.000 0.000
0.000 6.466 -0.076
0.000 -2.867 7.668
Cu C Th Co
2 2 4 2
direct
0.750 0.296 0.700 Cu
0.250 0.704 0.300 Cu
0.250 0.825 0.820 C
0.750 0.175 0.180 C
0.750 0.785 0.603 Th
0.250 0.215 0.397 Th
0.250 0.224 0.967 Th
0.750 0.776 0.033 Th
0.250 0.515 0.741 Co
0.750 0.485 0.259 Co

Which of these has the highest electronic total energy?
RbCoCuC2

The lowest volume belongs to which entry?
Co2CuCSe

Number 7 is which compound?
Tb2CoCuC